Here is a geometry-optimized Sb3Ir2 structure from Alexandria via LeMat-Bulk. Energies are from PBE.

abc: 3.8941 3.8941 25.7861
angles: 90.00 90.00 120.00
Space group R-3m (No. 166, hexagonal axes)
Unique sites:
Sb (0.0000, 0.0000, 0.0000) x3
Sb (0.0000, 0.0000, 0.2175) x6
Ir (0.0000, 0.0000, 0.3948) x6

Values from the calculation:
- Formation energy (no corrections): -0.12 eV per formula unit
- Energy above the most stable polymorph in this dataset: 4.41 kcal/mol of atoms